# CsSbC3 | Alexandria | GGA-PBE | optimized geometry
data_CsSbC3
_chemical_formula_sum 'Cs1 Sb1 C3'
_cell_length_a 4.524
_cell_length_b 4.524
_cell_length_c 4.524
_cell_angle_alpha 90.00
_cell_angle_beta 90.00
_cell_angle_gamma 90.00
_space_group_name_H-M_alt 'P 1'
_space_group_IT_number 1
loop_
_space_group_symop_operation_xyz
'x,y,z'
loop_
_atom_site_label
_atom_site_type_symbol
_atom_site_fract_x
_atom_site_fract_y
_atom_site_fract_z
Cs1 Cs 0.000 0.000 0.000
Sb1 Sb 0.500 0.500 0.500
C1 C 0.000 0.500 0.500
C2 C 0.500 0.000 0.500
C3 C 0.500 0.500 0.000
# Uncorrected energy, eV per atom: -3.894
# Relative energy among the computed polymorphs, eV/f.u.: 0.00
# Raw formation energy, kJ per mole of atoms: 254.3



# CsSb3C | Alexandria | GGA-PBE | optimized geometry
data_CsSb3C
_chemical_formula_sum 'Cs1 Sb3 C1'
_cell_length_a 6.459
_cell_length_b 6.459
_cell_length_c 6.459
_cell_angle_alpha 90.00
_cell_angle_beta 90.00
_cell_angle_gamma 90.00
_space_group_name_H-M_alt 'P 1'
_space_group_IT_number 1
loop_
_space_group_symop_operation_xyz
'x,y,z'
loop_
_atom_site_label
_atom_site_type_symbol
_atom_site_fract_x
_atom_site_fract_y
_atom_site_fract_z
Cs1 Cs 0.000 0.000 0.000
Sb1 Sb 0.000 0.000 0.500
Sb2 Sb 0.000 0.500 0.000
Sb3 Sb 0.500 0.000 0.000
C1 C 0.500 0.500 0.500
# Uncorrected energy, eV per atom: -1.632
# Relative energy among the computed polymorphs, eV/f.u.: 9.66
# Raw formation energy, kJ per mole of atoms: 275.6



# CsTa2SbC | Alexandria | GGA-PBE | optimized geometry
data_CsTa2SbC
_chemical_formula_sum 'Cs1 Ta2 Sb1 C1'
_cell_length_a 4.449
_cell_length_b 4.449
_cell_length_c 5.732
_cell_angle_alpha 90.00
_cell_angle_beta 90.00
_cell_angle_gamma 90.00
_space_group_name_H-M_alt 'P 1'
_space_group_IT_number 1
loop_
_space_group_symop_operation_xyz
'x,y,z'
loop_
_atom_site_label
_atom_site_type_symbol
_atom_site_fract_x
_atom_site_fract_y
_atom_site_fract_z
Cs1 Cs 0.000 0.000 0.000
Ta1 Ta 0.000 0.500 0.500
Ta2 Ta 0.500 0.000 0.500
Sb1 Sb 0.500 0.500 0.000
C1 C 0.000 0.000 0.500
# Uncorrected energy, eV per atom: -6.419
# Raw formation energy, kJ per mole of atoms: 112.1



# CsTc2SbC | Alexandria | GGA-PBE | optimized geometry
data_CsTc2SbC
_chemical_formula_sum 'Cs1 Tc2 Sb1 C1'
_cell_length_a 5.296
_cell_length_b 5.296
_cell_length_c 4.615
_cell_angle_alpha 90.00
_cell_angle_beta 90.00
_cell_angle_gamma 90.00
_space_group_name_H-M_alt 'P 1'
_space_group_IT_number 1
loop_
_space_group_symop_operation_xyz
'x,y,z'
loop_
_atom_site_label
_atom_site_type_symbol
_atom_site_fract_x
_atom_site_fract_y
_atom_site_fract_z
Cs1 Cs 0.000 0.000 0.000
Tc1 Tc 0.000 0.500 0.500
Tc2 Tc 0.500 0.000 0.500
Sb1 Sb 0.500 0.500 0.500
C1 C 0.500 0.500 0.000
# Uncorrected energy, eV per atom: -4.772
# Raw formation energy, kJ per mole of atoms: 213.6



# CsSb2TeC | Alexandria | GGA-PBE | optimized geometry
data_CsSb2TeC
_chemical_formula_sum 'Cs1 Sb2 Te1 C1'
_cell_length_a 5.094
_cell_length_b 5.094
_cell_length_c 5.242
_cell_angle_alpha 90.00
_cell_angle_beta 90.00
_cell_angle_gamma 90.00
_space_group_name_H-M_alt 'P 1'
_space_group_IT_number 1
loop_
_space_group_symop_operation_xyz
'x,y,z'
loop_
_atom_site_label
_atom_site_type_symbol
_atom_site_fract_x
_atom_site_fract_y
_atom_site_fract_z
Cs1 Cs 0.000 0.000 0.000
Sb1 Sb 0.000 0.500 0.500
Sb2 Sb 0.500 0.000 0.500
Te1 Te 0.500 0.500 0.000
C1 C 0.500 0.500 0.500
# Uncorrected energy, eV per atom: -3.457
# Relative energy among the computed polymorphs, eV/f.u.: 0.00
# Raw formation energy, kJ per mole of atoms: 80.7



# CsSb2TeC | Alexandria | GGA-PBE | optimized geometry
data_CsSb2TeC
_chemical_formula_sum 'Cs1 Sb2 Te1 C1'
_cell_length_a 6.687
_cell_length_b 6.687
_cell_length_c 7.023
_cell_angle_alpha 90.00
_cell_angle_beta 90.00
_cell_angle_gamma 90.00
_space_group_name_H-M_alt 'P 1'
_space_group_IT_number 1
loop_
_space_group_symop_operation_xyz
'x,y,z'
loop_
_atom_site_label
_atom_site_type_symbol
_atom_site_fract_x
_atom_site_fract_y
_atom_site_fract_z
Cs1 Cs 0.000 0.000 0.000
Sb1 Sb 0.000 0.500 0.000
Sb2 Sb 0.500 0.000 0.000
Te1 Te 0.000 0.000 0.500
C1 C 0.500 0.500 0.500
# Uncorrected energy, eV per atom: -1.604
# Relative energy among the computed polymorphs, eV/f.u.: 9.26
# Raw formation energy, kJ per mole of atoms: 259.4



# CsSbTe2C | Alexandria | GGA-PBE | optimized geometry
data_CsSbTe2C
_chemical_formula_sum 'Cs1 Sb1 Te2 C1'
_cell_length_a 5.626
_cell_length_b 5.626
_cell_length_c 4.606
_cell_angle_alpha 90.00
_cell_angle_beta 90.00
_cell_angle_gamma 90.00
_space_group_name_H-M_alt 'P 1'
_space_group_IT_number 1
loop_
_space_group_symop_operation_xyz
'x,y,z'
loop_
_atom_site_label
_atom_site_type_symbol
_atom_site_fract_x
_atom_site_fract_y
_atom_site_fract_z
Cs1 Cs 0.000 0.000 0.000
Sb1 Sb 0.500 0.500 0.000
Te1 Te 0.000 0.500 0.500
Te2 Te 0.500 0.000 0.500
C1 C 0.500 0.500 0.500
# Uncorrected energy, eV per atom: -3.364
# Raw formation energy, kJ per mole of atoms: 70.7



# CsSc2C2 | Alexandria | GGA-PBE | optimized geometry
data_CsSc2C2
_chemical_formula_sum 'Cs2 Sc4 C4'
_cell_length_a 7.338
_cell_length_b 7.338
_cell_length_c 3.451
_cell_angle_alpha 90.00
_cell_angle_beta 90.00
_cell_angle_gamma 90.00
_space_group_name_H-M_alt 'P 1'
_space_group_IT_number 1
loop_
_space_group_symop_operation_xyz
'x,y,z'
loop_
_atom_site_label
_atom_site_type_symbol
_atom_site_fract_x
_atom_site_fract_y
_atom_site_fract_z
Cs1 Cs 0.000 0.000 0.000
Cs2 Cs 0.500 0.500 0.000
Sc1 Sc 0.136 0.364 0.500
Sc2 Sc 0.364 0.864 0.500
Sc3 Sc 0.636 0.136 0.500
Sc4 Sc 0.864 0.636 0.500
C1 C 0.070 0.570 0.000
C2 C 0.430 0.070 0.000
C3 C 0.570 0.930 0.000
C4 C 0.930 0.430 0.000
# Uncorrected energy, eV per atom: -5.688
# Calculated formation energy, meV/atom: 705



# CsSc2C | Alexandria | GGA-PBE | optimized geometry
data_CsSc2C
_chemical_formula_sum 'Cs4 Sc8 C4'
_cell_length_a 7.091
_cell_length_b 7.091
_cell_length_c 10.064
_cell_angle_alpha 90.00
_cell_angle_beta 90.00
_cell_angle_gamma 90.00
_space_group_name_H-M_alt 'P 1'
_space_group_IT_number 1
loop_
_space_group_symop_operation_xyz
'x,y,z'
loop_
_atom_site_label
_atom_site_type_symbol
_atom_site_fract_x
_atom_site_fract_y
_atom_site_fract_z
Cs1 Cs 0.000 0.250 0.375
Cs2 Cs 0.000 0.750 0.625
Cs3 Cs 0.500 0.250 0.125
Cs4 Cs 0.500 0.750 0.875
Sc1 Sc 0.000 0.000 0.000
Sc2 Sc 0.000 0.500 0.000
Sc3 Sc 0.250 0.250 0.750
Sc4 Sc 0.250 0.750 0.250
Sc5 Sc 0.500 0.000 0.500
Sc6 Sc 0.500 0.500 0.500
Sc7 Sc 0.750 0.250 0.750
Sc8 Sc 0.750 0.750 0.250
C1 C 0.000 0.250 0.875
C2 C 0.000 0.750 0.125
C3 C 0.500 0.250 0.625
C4 C 0.500 0.750 0.375
# Uncorrected energy, eV per atom: -5.332
# Calculated formation energy, meV/atom: 353



# CsScTlC2 | Alexandria | GGA-PBE | optimized geometry
data_CsScTlC2
_chemical_formula_sum 'Cs1 Sc1 Tl1 C2'
_cell_length_a 4.588
_cell_length_b 4.588
_cell_length_c 5.807
_cell_angle_alpha 90.00
_cell_angle_beta 90.00
_cell_angle_gamma 90.00
_space_group_name_H-M_alt 'P 1'
_space_group_IT_number 1
loop_
_space_group_symop_operation_xyz
'x,y,z'
loop_
_atom_site_label
_atom_site_type_symbol
_atom_site_fract_x
_atom_site_fract_y
_atom_site_fract_z
Cs1 Cs 0.000 0.000 0.000
Sc1 Sc 0.000 0.000 0.500
Tl1 Tl 0.500 0.500 0.000
C1 C 0.000 0.500 0.500
C2 C 0.500 0.000 0.500
# Uncorrected energy, eV per atom: -3.869
# Calculated formation energy, meV/atom: 1730



# CsSc2VC | Alexandria | GGA-PBE | optimized geometry
data_CsSc2VC
_chemical_formula_sum 'Cs1 Sc2 V1 C1'
_cell_length_a 5.451
_cell_length_b 5.451
_cell_length_c 4.352
_cell_angle_alpha 90.00
_cell_angle_beta 90.00
_cell_angle_gamma 90.00
_space_group_name_H-M_alt 'P 1'
_space_group_IT_number 1
loop_
_space_group_symop_operation_xyz
'x,y,z'
loop_
_atom_site_label
_atom_site_type_symbol
_atom_site_fract_x
_atom_site_fract_y
_atom_site_fract_z
Cs1 Cs 0.000 0.000 0.000
Sc1 Sc 0.000 0.500 0.000
Sc2 Sc 0.500 0.000 0.000
V1 V 0.500 0.500 0.500
C1 C 0.000 0.000 0.500
# Uncorrected energy, eV per atom: -3.846
# Calculated formation energy, meV/atom: 2525



# CsCSe2 | Alexandria | GGA-PBE | optimized geometry
data_CsCSe2
_chemical_formula_sum 'Cs3 C3 Se6'
_cell_length_a 6.216
_cell_length_b 6.216
_cell_length_c 17.160
_cell_angle_alpha 90.00
_cell_angle_beta 90.00
_cell_angle_gamma 120.00
_space_group_name_H-M_alt 'P 1'
_space_group_IT_number 1
loop_
_space_group_symop_operation_xyz
'x,y,z'
loop_
_atom_site_label
_atom_site_type_symbol
_atom_site_fract_x
_atom_site_fract_y
_atom_site_fract_z
Cs1 Cs 0.000 0.000 0.000
Cs2 Cs 0.333 0.667 0.667
Cs3 Cs 0.667 0.333 0.333
C1 C 0.000 0.000 0.500
C2 C 0.333 0.667 0.167
C3 C 0.667 0.333 0.833
Se1 Se 0.000 0.000 0.397
Se2 Se 0.000 0.000 0.603
Se3 Se 0.333 0.667 0.064
Se4 Se 0.333 0.667 0.269
Se5 Se 0.667 0.333 0.731
Se6 Se 0.667 0.333 0.936
# Uncorrected energy, eV per atom: -4.042
# Relative energy among the computed polymorphs, eV/f.u.: 0.00
# Raw formation energy, kJ per mole of atoms: 21.2



# CsCSe3 | Alexandria | GGA-PBE | optimized geometry
data_CsCSe3
_chemical_formula_sum 'Cs1 C1 Se3'
_cell_length_a 4.824
_cell_length_b 4.824
_cell_length_c 4.824
_cell_angle_alpha 90.00
_cell_angle_beta 90.00
_cell_angle_gamma 90.00
_space_group_name_H-M_alt 'P 1'
_space_group_IT_number 1
loop_
_space_group_symop_operation_xyz
'x,y,z'
loop_
_atom_site_label
_atom_site_type_symbol
_atom_site_fract_x
_atom_site_fract_y
_atom_site_fract_z
Cs1 Cs 0.000 0.000 0.000
C1 C 0.500 0.500 0.500
Se1 Se 0.000 0.500 0.500
Se2 Se 0.500 0.000 0.500
Se3 Se 0.500 0.500 0.000
# Uncorrected energy, eV per atom: -3.290
# Relative energy among the computed polymorphs, eV/f.u.: 0.00
# Raw formation energy, kJ per mole of atoms: 78.8



# CsCSe3 | Alexandria | GGA-PBE | optimized geometry
data_CsCSe3
_chemical_formula_sum 'Cs1 C1 Se3'
_cell_length_a 6.103
_cell_length_b 6.103
_cell_length_c 6.103
_cell_angle_alpha 90.00
_cell_angle_beta 90.00
_cell_angle_gamma 90.00
_space_group_name_H-M_alt 'P 1'
_space_group_IT_number 1
loop_
_space_group_symop_operation_xyz
'x,y,z'
loop_
_atom_site_label
_atom_site_type_symbol
_atom_site_fract_x
_atom_site_fract_y
_atom_site_fract_z
Cs1 Cs 0.000 0.000 0.000
C1 C 0.500 0.500 0.500
Se1 Se 0.000 0.000 0.500
Se2 Se 0.000 0.500 0.000
Se3 Se 0.500 0.000 0.000
# Uncorrected energy, eV per atom: -1.496
# Relative energy among the computed polymorphs, eV/f.u.: 8.97
# Raw formation energy, kJ per mole of atoms: 251.9



# CsC3Se | Alexandria | GGA-PBE | optimized geometry
data_CsC3Se
_chemical_formula_sum 'Cs1 C3 Se1'
_cell_length_a 4.790
_cell_length_b 4.790
_cell_length_c 4.790
_cell_angle_alpha 90.00
_cell_angle_beta 90.00
_cell_angle_gamma 90.00
_space_group_name_H-M_alt 'P 1'
_space_group_IT_number 1
loop_
_space_group_symop_operation_xyz
'x,y,z'
loop_
_atom_site_label
_atom_site_type_symbol
_atom_site_fract_x
_atom_site_fract_y
_atom_site_fract_z
Cs1 Cs 0.000 0.000 0.000
C1 C 0.000 0.000 0.500
C2 C 0.000 0.500 0.000
C3 C 0.500 0.000 0.000
Se1 Se 0.500 0.500 0.500
# Uncorrected energy, eV per atom: -2.133
# Relative energy among the computed polymorphs, eV/f.u.: 6.72
# Raw formation energy, kJ per mole of atoms: 411.9



# Cs2C2Se | Alexandria | GGA-PBE | optimized geometry
data_Cs2C2Se
_chemical_formula_sum 'Cs4 C4 Se2'
_cell_length_a 8.687
_cell_length_b 8.687
_cell_length_c 4.312
_cell_angle_alpha 90.00
_cell_angle_beta 90.00
_cell_angle_gamma 90.00
_space_group_name_H-M_alt 'P 1'
_space_group_IT_number 1
loop_
_space_group_symop_operation_xyz
'x,y,z'
loop_
_atom_site_label
_atom_site_type_symbol
_atom_site_fract_x
_atom_site_fract_y
_atom_site_fract_z
Cs1 Cs 0.219 0.281 0.000
Cs2 Cs 0.281 0.781 0.000
Cs3 Cs 0.719 0.219 0.000
Cs4 Cs 0.781 0.719 0.000
C1 C 0.052 0.552 0.500
C2 C 0.448 0.052 0.500
C3 C 0.552 0.948 0.500
C4 C 0.948 0.448 0.500
Se1 Se 0.000 0.000 0.500
Se2 Se 0.500 0.500 0.500
# Uncorrected energy, eV per atom: -4.193
# Raw formation energy, kJ per mole of atoms: 51.6



# CsC3Se | Alexandria | GGA-PBE | optimized geometry
data_CsC3Se
_chemical_formula_sum 'Cs1 C3 Se1'
_cell_length_a 4.334
_cell_length_b 4.334
_cell_length_c 4.334
_cell_angle_alpha 90.00
_cell_angle_beta 90.00
_cell_angle_gamma 90.00
_space_group_name_H-M_alt 'P 1'
_space_group_IT_number 1
loop_
_space_group_symop_operation_xyz
'x,y,z'
loop_
_atom_site_label
_atom_site_type_symbol
_atom_site_fract_x
_atom_site_fract_y
_atom_site_fract_z
Cs1 Cs 0.000 0.000 0.000
C1 C 0.000 0.500 0.500
C2 C 0.500 0.000 0.500
C3 C 0.500 0.500 0.000
Se1 Se 0.500 0.500 0.500
# Uncorrected energy, eV per atom: -3.477
# Relative energy among the computed polymorphs, eV/f.u.: 0.00
# Raw formation energy, kJ per mole of atoms: 282.2



# CsCSe2 | Alexandria | GGA-PBE | optimized geometry
data_CsCSe2
_chemical_formula_sum 'Cs4 C4 Se8'
_cell_length_a 7.020
_cell_length_b 7.020
_cell_length_c 8.892
_cell_angle_alpha 90.00
_cell_angle_beta 90.00
_cell_angle_gamma 90.00
_space_group_name_H-M_alt 'P 1'
_space_group_IT_number 1
loop_
_space_group_symop_operation_xyz
'x,y,z'
loop_
_atom_site_label
_atom_site_type_symbol
_atom_site_fract_x
_atom_site_fract_y
_atom_site_fract_z
Cs1 Cs 0.000 0.000 0.000
Cs2 Cs 0.000 0.500 0.250
Cs3 Cs 0.500 0.000 0.750
Cs4 Cs 0.500 0.500 0.500
C1 C 0.000 0.000 0.500
C2 C 0.000 0.500 0.750
C3 C 0.500 0.000 0.250
C4 C 0.500 0.500 0.000
Se1 Se 0.079 0.250 0.625
Se2 Se 0.250 0.579 0.875
Se3 Se 0.250 0.921 0.375
Se4 Se 0.421 0.250 0.125
Se5 Se 0.579 0.750 0.125
Se6 Se 0.750 0.079 0.375
Se7 Se 0.750 0.421 0.875
Se8 Se 0.921 0.750 0.625
# Uncorrected energy, eV per atom: -3.889
# Relative energy among the computed polymorphs, eV/f.u.: 0.61
# Raw formation energy, kJ per mole of atoms: 35.9



# CsCSe2 | Alexandria | GGA-PBE | optimized geometry
data_CsCSe2
_chemical_formula_sum 'Cs3 C3 Se6'
_cell_length_a 3.552
_cell_length_b 3.552
_cell_length_c 25.384
_cell_angle_alpha 90.00
_cell_angle_beta 90.00
_cell_angle_gamma 120.00
_space_group_name_H-M_alt 'P 1'
_space_group_IT_number 1
loop_
_space_group_symop_operation_xyz
'x,y,z'
loop_
_atom_site_label
_atom_site_type_symbol
_atom_site_fract_x
_atom_site_fract_y
_atom_site_fract_z
Cs1 Cs 0.000 0.000 0.000
Cs2 Cs 0.333 0.667 0.667
Cs3 Cs 0.667 0.333 0.333
C1 C 0.000 0.000 0.500
C2 C 0.333 0.667 0.167
C3 C 0.667 0.333 0.833
Se1 Se 0.000 0.000 0.219
Se2 Se 0.000 0.000 0.781
Se3 Se 0.333 0.667 0.448
Se4 Se 0.333 0.667 0.886
Se5 Se 0.667 0.333 0.114
Se6 Se 0.667 0.333 0.552
# Uncorrected energy, eV per atom: -3.258
# Relative energy among the computed polymorphs, eV/f.u.: 3.14
# Raw formation energy, kJ per mole of atoms: 96.8



# CsY2CSe | Alexandria | GGA-PBE | optimized geometry
data_CsY2CSe
_chemical_formula_sum 'Cs1 Y2 C1 Se1'
_cell_length_a 5.433
_cell_length_b 5.433
_cell_length_c 5.023
_cell_angle_alpha 90.00
_cell_angle_beta 90.00
_cell_angle_gamma 90.00
_space_group_name_H-M_alt 'P 1'
_space_group_IT_number 1
loop_
_space_group_symop_operation_xyz
'x,y,z'
loop_
_atom_site_label
_atom_site_type_symbol
_atom_site_fract_x
_atom_site_fract_y
_atom_site_fract_z
Cs1 Cs 0.000 0.000 0.000
Y1 Y 0.000 0.500 0.500
Y2 Y 0.500 0.000 0.500
C1 C 0.500 0.500 0.000
Se1 Se 0.500 0.500 0.500
# Uncorrected energy, eV per atom: -4.376
# Raw formation energy, kJ per mole of atoms: 89.0